The following is a DFT calculation (GGA-PBE) of crystalline LiTePN2 at its relaxed geometry.

a b c (Å): 3.427 3.427 6.796
angles (deg): 90.00 90.00 90.00
Fractional coordinates of all 5 atoms:
Li 0.000 0.000 0.000
Te 0.500 0.500 0.000
P 0.500 0.500 0.500
N 0.000 0.500 0.500
N 0.500 0.000 0.500

Values from the calculation:
- E_tot: -4.74 eV/atom
- Distance to the lowest polymorph of the same formula: 0 meV/atom
- Density of states at the Fermi level: 2.0 states/eV/f.u.